1.
The following is a DFT calculation (PBE) of PmAlPt2 after structural relaxation.

Values from the calculation:
E_tot ... -100.39 eV/cell
N(E_F) ... 7.6 states/eV/cell

Cell lengths 7.420, 7.108, 5.823 Å; angles 90.00, 90.00, 90.00 degrees
Fractional coordinates of all 16 atoms:
Pm (0.028, 0.250, 0.148)
Pm (0.472, 0.750, 0.648)
Pm (0.528, 0.250, 0.352)
Pm (0.972, 0.750, 0.852)
Al (0.117, 0.750, 0.353)
Al (0.383, 0.250, 0.853)
Al (0.617, 0.750, 0.147)
Al (0.883, 0.250, 0.647)
Pt (0.181, 0.052, 0.587)
Pt (0.181, 0.448, 0.587)
Pt (0.319, 0.552, 0.087)
Pt (0.319, 0.948, 0.087)
Pt (0.681, 0.052, 0.913)
Pt (0.681, 0.448, 0.913)
Pt (0.819, 0.552, 0.413)
Pt (0.819, 0.948, 0.413)



2.
The following is a DFT calculation (PBE) of Pm4Al5Pt2 after structural relaxation.

Values from the calculation:
E_tot ... -56.57 eV/cell
N(E_F) ... 7.2 states/eV/cell

Cell lengths 7.265, 3.753, 9.472 Å; angles 90.00, 93.27, 90.00 degrees
Fractional coordinates of all 11 atoms:
Pm (0.172, 0.000, 0.375)
Pm (0.248, 0.000, 0.943)
Pm (0.752, 0.000, 0.057)
Pm (0.828, 0.000, 0.625)
Al (0.200, 0.500, 0.664)
Al (0.442, 0.500, 0.202)
Al (0.500, 0.500, 0.500)
Al (0.558, 0.500, 0.798)
Al (0.800, 0.500, 0.336)
Pt (0.070, 0.500, 0.147)
Pt (0.930, 0.500, 0.853)